# 1
The following is a DFT calculation (SCAN) of a crystal of KSiSe2 relaxed with PBEsol.

Calculated values
Crystal system = tetragonal
Space group = I-42d
ΔE_f (raw) = -2.35 eV per formula unit

Cell: 6.9752 7.2793 6.9752 Å, 61.37 90.00 118.63°
Closest atoms and distances in Å follow each position.
Fractional positions:
K  0.0000  0.0000  0.0000  4 Se 3.32
K  0.7500  0.5000  0.7500  4 Se 3.32
Si  0.2500  0.5000  0.2500  4 Se 2.41
Si  0.5000  0.0000  0.5000  4 Se 2.41
Se  0.8750  0.2500  0.5176  2 Si 2.41
Se  0.5176  0.7500  0.3750  2 Si 2.41
Se  0.2324  0.7500  0.8750  2 Si 2.41
Se  0.3750  0.2500  0.2324  2 Si 2.41

***

# 2
The following is a DFT calculation (SCAN) of a crystal of KSi2Se relaxed with PBEsol.

Calculated values
Crystal system = tetragonal
Space group = P4mm
ΔE_f (raw) = 0.45 eV per formula unit

Cell: 3.6728 3.6729 6.7375 Å, 90.00 90.00 90.00°
Closest atoms and distances in Å follow each position.
Fractional positions:
Se  0.5000  0.5000  0.1971  1 Si 2.32
Si  0.5000  0.5000  0.8533  1 Se 2.32
Si  0.0000  0.0000  0.9602  4 Si 2.70
K  0.0000  0.0000  0.4894  1 Si 3.17, 4 Se 3.26

***

# 3
The following is a DFT calculation (SCAN) of a crystal of KSiSe2 relaxed with PBEsol.

Calculated values
Crystal system = tetragonal
Space group = P4/mmm
ΔE_f (raw) = 0.18 eV per formula unit

Cell: 3.8590 4.7667 4.7667 Å, 90.00 90.00 90.00°
Closest atoms and distances in Å follow each position.
Fractional positions:
Se  0.0000  0.0000  0.5000  4 Si 3.07, 4 K 3.07, 4 Se 3.37
Se  0.0000  0.5000  0.0000  4 Si 3.07, 4 K 3.07, 4 Se 3.37
K  0.5000  0.0000  0.0000  8 Se 3.07, 4 Si 3.37
Si  0.5000  0.5000  0.5000  8 Se 3.07, 4 K 3.37

***

# 4
The following is a DFT calculation (SCAN) of a crystal of KSmSe2 relaxed with PBEsol.

Calculated values
Crystal system = trigonal
Space group = R-3m
ΔE_f (raw) = -8.03 eV per formula unit

Cell: 4.2267 4.2267 7.9513 Å, 74.59 74.59 60.00°
Closest atoms and distances in Å follow each position.
Fractional positions:
Se  0.7632  0.7632  0.7104  3 Sm 2.91
Se  0.2368  0.2368  0.2896  3 Sm 2.91
Sm  0.5000  0.5000  0.5000  6 Se 2.91
K  0.0000  0.0000  0.0000  6 Se 3.28

***

# 5
The following is a DFT calculation (SCAN) of a crystal of K4Sn3Se8 relaxed with PBEsol.

Calculated values
Crystal system = orthorhombic
Space group = Ccce
ΔE_f (raw) = -13.40 eV per formula unit

Cell: 8.1129 8.1375 14.4731 Å, 73.67 90.00 90.00°
Closest atoms and distances in Å follow each position.
Fractional positions:
K  0.5000  0.6059  0.7882  8 Se 3.27-3.51, 1 K 3.56
K  0.5000  0.3941  0.2118  8 Se 3.27-3.51, 1 K 3.56
K  0.0000  0.2341  0.5319  6 Se 3.35-3.42, 1 K 3.56
K  0.5000  0.7341  0.5319  6 Se 3.35-3.42, 1 K 3.56
K  0.5000  0.2659  0.4681  6 Se 3.35-3.42, 1 K 3.56
K  0.0000  0.8941  0.2118  8 Se 3.27-3.51, 1 K 3.56
K  0.0000  0.7659  0.4681  6 Se 3.35-3.42, 1 K 3.56
K  0.0000  0.1059  0.7882  8 Se 3.27-3.51, 1 K 3.56
Se  0.8141  0.4875  0.6536  1 Sn 2.50
Se  0.6859  0.0125  0.3464  1 Sn 2.50
Se  0.6663  0.7723  0.1224  2 Sn 2.56-2.63
Se  0.1859  0.8589  0.6536  1 Sn 2.50
Se  0.1663  0.3947  0.8776  2 Sn 2.56-2.63
Se  0.6859  0.9875  0.6536  1 Sn 2.50
Se  0.8337  0.7277  0.8776  2 Sn 2.56-2.63
Se  0.6663  0.2277  0.8776  2 Sn 2.56-2.63
Se  0.8141  0.5125  0.3464  1 Sn 2.50
Se  0.3141  0.3589  0.6536  1 Sn 2.50
Se  0.8337  0.2723  0.1224  2 Sn 2.56-2.63
Se  0.3141  0.6411  0.3464  1 Sn 2.50
Se  0.1663  0.6053  0.1224  2 Sn 2.56-2.63
Se  0.1859  0.1411  0.3464  1 Sn 2.50
Se  0.3337  0.1053  0.1224  2 Sn 2.56-2.63
Se  0.3337  0.8947  0.8776  2 Sn 2.56-2.63
Sn  0.5000  0.8737  0.2526  4 Se 2.50-2.63
Sn  0.0000  0.5000  0.0000  4 Se 2.56
Sn  0.0000  0.3737  0.2526  4 Se 2.50-2.63
Sn  0.5000  0.1263  0.7474  4 Se 2.50-2.63
Sn  0.5000  0.0000  0.0000  4 Se 2.56
Sn  0.0000  0.6263  0.7474  4 Se 2.50-2.63

***

# 6
The following is a DFT calculation (SCAN) of a crystal of KSnSe3 relaxed with PBEsol.

Calculated values
Crystal system = cubic
Space group = Pm-3m
ΔE_f (raw) = 3.78 eV per formula unit

Cell: 5.3994 5.3994 5.3994 Å, 90.00 90.00 90.00°
Closest atoms and distances in Å follow each position.
Fractional positions:
Se  0.0000  0.0000  0.5000  2 K 2.70
Se  0.5000  0.0000  0.0000  2 K 2.70
Se  0.0000  0.5000  0.0000  2 K 2.70
Sn  0.5000  0.5000  0.5000  12 Se 3.82
K  0.0000  0.0000  0.0000  6 Se 2.70

***

# 7
The following is a DFT calculation (SCAN) of a crystal of K2ZnSn2Se6 relaxed with PBEsol.

Calculated values
Crystal system = tetragonal
Space group = P4/ncc
ΔE_f (raw) = -8.93 eV per formula unit

Cell: 8.1292 8.1292 19.4588 Å, 90.00 90.00 90.00°
Closest atoms and distances in Å follow each position.
Fractional positions:
Se  0.1675  0.8325  0.7500  2 Sn 2.59
Se  0.8422  0.8176  0.9200  1 Zn 2.50, 1 Sn 2.52
Se  0.1824  0.1578  0.5800  1 Zn 2.50, 1 Sn 2.52
Se  0.8325  0.8325  0.2500  2 Sn 2.59
Se  0.3176  0.3422  0.4200  1 Zn 2.50, 1 Sn 2.52
Se  0.3176  0.6578  0.9200  1 Zn 2.50, 1 Sn 2.52
Se  0.6578  0.3176  0.5800  1 Zn 2.50, 1 Sn 2.52
Se  0.3325  0.6675  0.2500  2 Sn 2.59
Se  0.6824  0.6578  0.4200  1 Zn 2.50, 1 Sn 2.52
Se  0.6675  0.6675  0.7500  2 Sn 2.59
Se  0.1675  0.1675  0.2500  2 Sn 2.59
Se  0.6578  0.6824  0.0800  1 Zn 2.50, 1 Sn 2.52
Se  0.6675  0.3325  0.2500  2 Sn 2.59
Se  0.3325  0.3325  0.7500  2 Sn 2.59
Se  0.3422  0.6824  0.5800  1 Zn 2.50, 1 Sn 2.52
Se  0.3422  0.3176  0.0800  1 Zn 2.50, 1 Sn 2.52
Se  0.8176  0.1578  0.0800  1 Zn 2.50, 1 Sn 2.52
Se  0.8422  0.1824  0.4200  1 Zn 2.50, 1 Sn 2.52
Se  0.6824  0.3422  0.9200  1 Zn 2.50, 1 Sn 2.52
Se  0.8176  0.8422  0.5800  1 Zn 2.50, 1 Sn 2.52
Se  0.1578  0.8176  0.4200  1 Zn 2.50, 1 Sn 2.52
Se  0.8325  0.1675  0.7500  2 Sn 2.59
Se  0.1578  0.1824  0.9200  1 Zn 2.50, 1 Sn 2.52
Se  0.1824  0.8422  0.0800  1 Zn 2.50, 1 Sn 2.52
Zn  0.0000  0.0000  0.5000  4 Se 2.50
Zn  0.5000  0.5000  0.5000  4 Se 2.50
Zn  0.0000  0.0000  0.0000  4 Se 2.50
Zn  0.5000  0.5000  0.0000  4 Se 2.50
Sn  0.5000  0.5000  0.6610  4 Se 2.52-2.59
Sn  0.0000  0.0000  0.1610  4 Se 2.52-2.59
Sn  0.0000  0.0000  0.8390  4 Se 2.52-2.59
Sn  0.5000  0.5000  0.3390  4 Se 2.52-2.59
Sn  0.0000  0.0000  0.6610  4 Se 2.52-2.59
Sn  0.5000  0.5000  0.1610  4 Se 2.52-2.59
Sn  0.5000  0.5000  0.8390  4 Se 2.52-2.59
Sn  0.0000  0.0000  0.3390  4 Se 2.52-2.59
K  0.0000  0.5000  0.3238  8 Se 3.35-3.44
K  0.5000  0.0000  0.6762  8 Se 3.35-3.44
K  0.5000  0.0000  0.9735  8 Se 3.32-3.55
K  0.5000  0.0000  0.4735  8 Se 3.32-3.55
K  0.0000  0.5000  0.5265  8 Se 3.32-3.55
K  0.5000  0.0000  0.1762  8 Se 3.35-3.44
K  0.0000  0.5000  0.0265  8 Se 3.32-3.55
K  0.0000  0.5000  0.8238  8 Se 3.35-3.44

***

# 8
The following is a DFT calculation (SCAN) of a crystal of KSr2Se relaxed with PBEsol.

Calculated values
Crystal system = tetragonal
Space group = I4/mmm
ΔE_f (raw) = -1.76 eV per formula unit

Cell: 5.1519 5.1519 6.6346 Å, 112.85 112.85 90.00°
Closest atoms and distances in Å follow each position.
Fractional positions:
Se  0.0000  0.0000  0.0000  4 K 3.64, 8 Sr 3.78
Sr  0.7500  0.2500  0.5000  4 Sr 3.64, 4 Se 3.78, 4 K 3.78
Sr  0.2500  0.7500  0.5000  4 Sr 3.64, 4 Se 3.78, 4 K 3.78
K  0.5000  0.5000  0.0000  4 Se 3.64, 8 Sr 3.78

***

# 9
The following is a DFT calculation (SCAN) of a crystal of KSr2Se relaxed with PBEsol.

Calculated values
Crystal system = orthorhombic
Space group = Pmmm
ΔE_f (raw) = -1.91 eV per formula unit

Cell: 5.1379 5.2195 5.4268 Å, 90.00 90.00 90.00°
Closest atoms and distances in Å follow each position.
Fractional positions:
Sr  0.0000  0.0000  0.0000  4 K 3.66, 4 Se 3.74, 4 Sr 3.76
Sr  0.0000  0.5000  0.5000  4 Se 3.66, 4 K 3.74, 4 Sr 3.76
Se  0.5000  0.0000  0.5000  8 Sr 3.66-3.74, 4 K 3.76
K  0.5000  0.5000  0.0000  8 Sr 3.66-3.74, 4 Se 3.76

***

# 10
The following is a DFT calculation (SCAN) of a crystal of K3SrSe relaxed with PBEsol.

Calculated values
Crystal system = cubic
Space group = Pm-3m
ΔE_f (raw) = 2.86 eV per formula unit

Cell: 7.1347 7.1347 7.1347 Å, 90.00 90.00 90.00°
Closest atoms and distances in Å follow each position.
Fractional positions:
K  0.0000  0.5000  0.0000  2 Sr 3.57
K  0.0000  0.0000  0.5000  2 Sr 3.57
K  0.5000  0.0000  0.0000  2 Sr 3.57
Se  0.5000  0.5000  0.5000  12 K 5.04
Sr  0.0000  0.0000  0.0000  6 K 3.57

***

Question: What is the ΔE_f (raw) in the ninth record?
Answer: -1.91 eV per formula unit